one) A plane-wave DFT calculation with GGA-PBE was carried out for an optimized crystal structure of ZrTeW.

Volume: 20.9 Å³ per atom

Cell: 3.671 5.213 13.114 Å, 90.00 90.00 90.00°
Atoms (fractional coordinates):
Zr 0.000 0.000 0.000
Zr 0.000 0.500 0.500
Zr 0.500 0.000 0.500
Zr 0.500 0.500 0.000
Te 0.000 0.000 0.323
Te 0.000 0.500 0.823
Te 0.500 0.000 0.823
Te 0.500 0.500 0.323
W 0.000 0.000 0.658
W 0.000 0.500 0.158
W 0.500 0.000 0.158
W 0.500 0.500 0.658

=====

two) A plane-wave DFT calculation with GGA-PBE was carried out for an optimized crystal structure of ZrTeW.

Volume: 22.5 Å³ per atom

Cell: 3.555 3.555 10.670 Å, 90.00 90.00 90.00°
Atoms (fractional coordinates):
Zr 0.250 0.250 0.217
Zr 0.750 0.750 0.783
Te 0.250 0.250 0.646
Te 0.750 0.750 0.354
W 0.250 0.250 0.935
W 0.750 0.750 0.065

=====

Result of the stability comparison: two) is the most stable of them.

=====

one) A plane-wave DFT calculation with GGA-PBE was carried out for an optimized crystal structure of ZrTeW.

Volume: 21.7 Å³ per atom

Cell: 3.419 3.419 6.438 Å, 90.00 90.00 120.00°
Atoms (fractional coordinates):
Zr 0.000 0.000 0.000
Te 0.333 0.667 0.376
W 0.667 0.333 0.693

=====

two) A plane-wave DFT calculation with GGA-PBE was carried out for an optimized crystal structure of ZrTeW.

Volume: 22.9 Å³ per atom

Cell: 6.505 6.505 6.505 Å, 90.00 90.00 90.00°
Atoms (fractional coordinates):
Zr 0.000 0.000 0.000
Zr 0.000 0.500 0.500
Zr 0.500 0.000 0.500
Zr 0.500 0.500 0.000
Te 0.000 0.000 0.500
Te 0.000 0.500 0.000
Te 0.500 0.000 0.000
Te 0.500 0.500 0.500
W 0.250 0.250 0.250
W 0.250 0.750 0.750
W 0.750 0.250 0.750
W 0.750 0.750 0.250

=====

three) A plane-wave DFT calculation with GGA-PBE was carried out for an optimized crystal structure of ZrTeW.

Volume: 20.2 Å³ per atom

Cell: 4.724 4.724 3.142 Å, 90.00 90.00 120.00°
Atoms (fractional coordinates):
Zr 0.000 0.000 0.000
Te 0.333 0.667 0.500
W 0.667 0.333 0.500

=====

Result of the stability comparison: three) is the most stable of them.

=====

one) A plane-wave DFT calculation with GGA-PBE was carried out for an optimized crystal structure of Y3Te5.

Volume: 29.9 Å³ per atom

Cell: 9.467 9.467 6.162 Å, 90.00 90.00 120.00°
Atoms (fractional coordinates):
Y 0.000 0.372 0.250
Y 0.000 0.628 0.750
Y 0.372 0.000 0.250
Y 0.372 0.372 0.750
Y 0.628 0.000 0.750
Y 0.628 0.628 0.250
Te 0.000 0.277 0.750
Te 0.000 0.723 0.250
Te 0.277 0.000 0.750
Te 0.277 0.277 0.250
Te 0.333 0.667 0.000
Te 0.333 0.667 0.500
Te 0.667 0.333 0.000
Te 0.667 0.333 0.500
Te 0.723 0.000 0.250
Te 0.723 0.723 0.750

=====

two) A plane-wave DFT calculation with GGA-PBE was carried out for an optimized crystal structure of Y3Te5.

Volume: 30.7 Å³ per atom

Cell: 8.971 8.971 9.050 Å, 99.14 99.14 132.73°
Atoms (fractional coordinates):
Y 0.000 0.000 0.000
Y 0.277 0.778 0.818
Y 0.318 0.318 0.636
Y 0.499 0.818 0.318
Y 0.778 0.277 0.818
Y 0.818 0.499 0.318
Te 0.114 0.740 0.106
Te 0.244 0.455 0.947
Te 0.326 0.953 0.530
Te 0.380 0.380 0.317
Te 0.455 0.244 0.947
Te 0.615 0.826 0.689
Te 0.740 0.114 0.106
Te 0.826 0.615 0.689
Te 0.884 0.884 0.319
Te 0.953 0.326 0.530

=====

Result of the stability comparison: one) is the most stable of them.

=====

one) A plane-wave DFT calculation with GGA-PBE was carried out for an optimized crystal structure of Y3Te.

Volume: 29.6 Å³ per atom

Cell: 9.340 9.340 9.340 Å, 96.06 96.06 142.06°
Atoms (fractional coordinates):
Y 0.067 0.029 0.602
Y 0.113 0.444 0.608
Y 0.157 0.345 0.973
Y 0.372 0.184 0.027
Y 0.427 0.464 0.398
Y 0.495 0.887 0.331
Y 0.536 0.933 0.963
Y 0.556 0.164 0.669
Y 0.655 0.628 0.812
Y 0.816 0.843 0.188
Y 0.836 0.505 0.392
Y 0.971 0.573 0.037
Te 0.073 0.732 0.744
Te 0.268 0.012 0.341
Te 0.671 0.927 0.659
Te 0.988 0.329 0.256

=====

two) A plane-wave DFT calculation with GGA-PBE was carried out for an optimized crystal structure of Y3Te.

Volume: 28.8 Å³ per atom

Cell: 7.726 7.726 7.726 Å, 90.00 90.00 90.00°
Atoms (fractional coordinates):
Y 0.000 0.000 0.000
Y 0.000 0.500 0.500
Y 0.250 0.250 0.250
Y 0.250 0.250 0.750
Y 0.250 0.750 0.250
Y 0.250 0.750 0.750
Y 0.500 0.000 0.500
Y 0.500 0.500 0.000
Y 0.750 0.250 0.250
Y 0.750 0.250 0.750
Y 0.750 0.750 0.250
Y 0.750 0.750 0.750
Te 0.000 0.000 0.500
Te 0.000 0.500 0.000
Te 0.500 0.000 0.000
Te 0.500 0.500 0.500

=====

Result of the stability comparison: one) is the most stable of them.

=====

one) A plane-wave DFT calculation with GGA-PBE was carried out for an optimized crystal structure of Y4Te3.

Volume: 29.0 Å³ per atom

Cell: 4.107 4.107 24.087 Å, 90.00 90.00 90.00°
Atoms (fractional coordinates):
Y 0.000 0.000 0.070
Y 0.000 0.000 0.341
Y 0.000 0.000 0.659
Y 0.000 0.000 0.930
Y 0.500 0.500 0.159
Y 0.500 0.500 0.430
Y 0.500 0.500 0.570
Y 0.500 0.500 0.841
Te 0.000 0.000 0.198
Te 0.000 0.000 0.500
Te 0.000 0.000 0.802
Te 0.500 0.500 0.000
Te 0.500 0.500 0.302
Te 0.500 0.500 0.698

=====

two) A plane-wave DFT calculation with GGA-PBE was carried out for an optimized crystal structure of Y4Te3.

Volume: 29.3 Å³ per atom

Cell: 6.534 6.534 5.555 Å, 90.00 90.00 120.00°
Atoms (fractional coordinates):
Y 0.000 0.000 0.247
Y 0.000 0.000 0.753
Y 0.333 0.667 0.000
Y 0.667 0.333 0.000
Te 0.000 0.500 0.500
Te 0.500 0.000 0.500
Te 0.500 0.500 0.500

=====

three) A plane-wave DFT calculation with GGA-PBE was carried out for an optimized crystal structure of Y4Te3.

Volume: 27.3 Å³ per atom

Cell: 7.918 7.918 7.918 Å, 109.47 109.47 109.47°
Atoms (fractional coordinates):
Y 0.000 0.355 0.500
Y 0.000 0.855 0.500
Y 0.145 0.145 0.145
Y 0.355 0.500 0.000
Y 0.500 0.000 0.355
Y 0.500 0.000 0.855
Y 0.645 0.645 0.645
Y 0.855 0.500 0.000
Te 0.125 0.750 0.875
Te 0.250 0.625 0.375
Te 0.375 0.250 0.625
Te 0.625 0.375 0.250
Te 0.750 0.875 0.125
Te 0.875 0.125 0.750

=====

Result of the stability comparison: three) is the most stable of them.

=====

one) A plane-wave DFT calculation with GGA-PBE was carried out for an optimized crystal structure of Y5Te.

Volume: 30.7 Å³ per atom

Cell: 3.834 3.834 12.544 Å, 90.00 90.00 90.00°
Atoms (fractional coordinates):
Y 0.000 0.000 0.000
Y 0.000 0.000 0.359
Y 0.000 0.000 0.641
Y 0.500 0.500 0.184
Y 0.500 0.500 0.816
Te 0.500 0.500 0.500

=====

two) A plane-wave DFT calculation with GGA-PBE was carried out for an optimized crystal structure of Y5Te.

Volume: 30.4 Å³ per atom

Cell: 5.408 3.811 17.720 Å, 90.00 90.00 90.00°
Atoms (fractional coordinates):
Y 0.000 0.000 0.000
Y 0.000 0.000 0.319
Y 0.000 0.000 0.664
Y 0.000 0.500 0.164
Y 0.000 0.500 0.500
Y 0.000 0.500 0.819
Y 0.500 0.000 0.122
Y 0.500 0.000 0.448
Y 0.500 0.500 0.622
Y 0.500 0.500 0.948
Te 0.500 0.000 0.777
Te 0.500 0.500 0.277

=====

Result of the stability comparison: one) is the most stable of them.

=====

one) A plane-wave DFT calculation with GGA-PBE was carried out for an optimized crystal structure of Y5Te.

Volume: 29.8 Å³ per atom

Cell: 4.754 15.255 4.923 Å, 90.00 90.00 90.00°
Atoms (fractional coordinates):
Y 0.000 0.000 0.000
Y 0.000 0.163 0.500
Y 0.000 0.331 0.000
Y 0.000 0.669 0.000
Y 0.000 0.837 0.500
Y 0.500 0.169 0.000
Y 0.500 0.337 0.500
Y 0.500 0.500 0.000
Y 0.500 0.663 0.500
Y 0.500 0.831 0.000
Te 0.000 0.500 0.500
Te 0.500 0.000 0.500

=====

two) A plane-wave DFT calculation with GGA-PBE was carried out for an optimized crystal structure of Y5Te.

Volume: 30.8 Å³ per atom

Cell: 12.281 3.788 8.183 Å, 90.00 103.86 90.00°
Atoms (fractional coordinates):
Y 0.000 0.000 0.000
Y 0.005 0.000 0.592
Y 0.154 0.500 0.336
Y 0.212 0.500 0.888
Y 0.368 0.000 0.252
Y 0.500 0.500 0.000
Y 0.505 0.500 0.592
Y 0.654 0.000 0.336
Y 0.712 0.000 0.888
Y 0.868 0.500 0.252
Te 0.299 0.000 0.626
Te 0.799 0.500 0.626

=====

Result of the stability comparison: two) is the most stable of them.

=====

one) A plane-wave DFT calculation with GGA-PBE was carried out for an optimized crystal structure of Y5Te.

Volume: 33.0 Å³ per atom

Cell: 6.540 6.540 6.540 Å, 60.00 60.00 60.00°
Atoms (fractional coordinates):
Y 0.000 0.000 0.000
Y 0.120 0.627 0.627
Y 0.627 0.120 0.627
Y 0.627 0.627 0.120
Y 0.627 0.627 0.627
Te 0.250 0.250 0.250

=====

two) A plane-wave DFT calculation with GGA-PBE was carried out for an optimized crystal structure of Y5Te.

Volume: 35.2 Å³ per atom

Cell: 6.438 6.438 5.880 Å, 90.00 90.00 120.00°
Atoms (fractional coordinates):
Y 0.000 0.500 0.000
Y 0.333 0.667 0.500
Y 0.500 0.000 0.000
Y 0.500 0.500 0.000
Y 0.667 0.333 0.500
Te 0.000 0.000 0.500

=====

Result of the stability comparison: one) is the most stable of them.